Compound: Ca2PuCl6
Source: Alexandria
Functional: PBE-GGA
Structure: relaxed

## Properties
distance to the lowest polymorph of the same formula: 0.000 eV per formula unit
theoretical density: 3.3 Mg/m³
magnetization: 6.00 μB/f.u.
formation energy without anion corrections: -2151 meV/atom
space group: No. 136

```
Ca2PuCl6
1.0
6.5518 0.0000 0.0000
0.0000 6.5518 0.0000
0.0000 0.0000 12.7368
Ca Pu Cl
4 2 12
Direct
0.0000 0.0000 0.1674
0.0000 0.0000 0.8326
0.5000 0.5000 0.3326
0.5000 0.5000 0.6674
0.0000 0.0000 0.5000
0.5000 0.5000 0.0000
0.1908 0.1908 0.0000
0.2000 0.2000 0.3283
0.2000 0.2000 0.6717
0.3000 0.7000 0.1717
0.3000 0.7000 0.8283
0.3092 0.6908 0.5000
0.6908 0.3092 0.5000
0.7000 0.3000 0.1717
0.7000 0.3000 0.8283
0.8000 0.8000 0.3283
0.8000 0.8000 0.6717
0.8092 0.8092 0.0000
```



Compound: CaPuCl2
Source: Alexandria
Functional: PBE-GGA
Structure: relaxed

## Properties
theoretical density: 4.9 Mg/m³
magnetization: 6.51 μB/f.u.
formation energy without anion corrections: -1273 meV/atom
space group: No. 166

```
CaPuCl2
1.0
1.9047 1.0997 9.4950
-1.9047 1.0997 9.4950
0.0000 -2.1994 9.4950
Ca Pu Cl
1 1 2
Direct
0.0000 0.0000 0.0000
0.5000 0.5000 0.5000
0.1001 0.1001 0.1001
0.8999 0.8999 0.8999
```



Compound: RbCa2PuCl8
Source: Alexandria
Functional: PBE-GGA
Structure: relaxed

## Properties
theoretical density: 3.0 Mg/m³
magnetization: 5.00 μB/f.u.
formation energy without anion corrections: -2130 meV/atom
space group: No. 10

```
RbCa2PuCl8
1.0
6.5801 0.0000 0.0000
0.0000 8.7543 0.0000
-0.0685 0.0000 6.6961
Rb Ca Pu Cl
1 2 1 8
Direct
0.0000 0.0000 0.0000
0.5000 0.2464 0.5000
0.5000 0.7536 0.5000
0.0000 0.5000 0.0000
0.2437 0.2878 0.1738
0.2437 0.7122 0.1738
0.2727 0.5000 0.6766
0.2836 0.0000 0.6276
0.7164 0.0000 0.3724
0.7273 0.5000 0.3234
0.7563 0.2878 0.8262
0.7563 0.7122 0.8262
```



Compound: Rb2CaPuCl6
Source: Alexandria
Functional: PBE-GGA
Structure: relaxed

## Properties
theoretical density: 3.4 Mg/m³
magnetization: 6.00 μB/f.u.
formation energy without anion corrections: -2029 meV/atom
space group: No. 14

```
Rb2CaPuCl6
1.0
7.5913 0.0000 0.0000
0.0000 7.8398 0.0000
-7.5732 0.0000 10.8888
Rb Ca Pu Cl
4 2 2 12
Direct
0.2345 0.0559 0.2499
0.2345 0.4441 0.7499
0.7655 0.5559 0.2501
0.7655 0.9441 0.7501
0.0000 0.0000 0.5000
0.0000 0.5000 0.0000
0.5000 0.0000 0.0000
0.5000 0.5000 0.5000
0.1543 0.2104 0.9556
0.1543 0.2896 0.4556
0.2499 0.7012 0.9576
0.2499 0.7988 0.4576
0.3284 0.0240 0.7452
0.3284 0.4760 0.2452
0.6716 0.5240 0.7548
0.6716 0.9760 0.2548
0.7501 0.2012 0.5424
0.7501 0.2988 0.0424
0.8457 0.7104 0.5444
0.8457 0.7896 0.0444
```



Repeat the third record exactly.
Compound: RbCa2PuCl8
Source: Alexandria
Functional: PBE-GGA
Structure: relaxed

## Properties
theoretical density: 3.0 Mg/m³
magnetization: 5.00 μB/f.u.
formation energy without anion corrections: -2130 meV/atom
space group: No. 10

```
RbCa2PuCl8
1.0
6.5801 0.0000 0.0000
0.0000 8.7543 0.0000
-0.0685 0.0000 6.6961
Rb Ca Pu Cl
1 2 1 8
Direct
0.0000 0.0000 0.0000
0.5000 0.2464 0.5000
0.5000 0.7536 0.5000
0.0000 0.5000 0.0000
0.2437 0.2878 0.1738
0.2437 0.7122 0.1738
0.2727 0.5000 0.6766
0.2836 0.0000 0.6276
0.7164 0.0000 0.3724
0.7273 0.5000 0.3234
0.7563 0.2878 0.8262
0.7563 0.7122 0.8262
```



Please write out number 4 again, unchanged.
Compound: Rb2CaPuCl6
Source: Alexandria
Functional: PBE-GGA
Structure: relaxed

## Properties
theoretical density: 3.4 Mg/m³
magnetization: 6.00 μB/f.u.
formation energy without anion corrections: -2029 meV/atom
space group: No. 14

```
Rb2CaPuCl6
1.0
7.5913 0.0000 0.0000
0.0000 7.8398 0.0000
-7.5732 0.0000 10.8888
Rb Ca Pu Cl
4 2 2 12
Direct
0.2345 0.0559 0.2499
0.2345 0.4441 0.7499
0.7655 0.5559 0.2501
0.7655 0.9441 0.7501
0.0000 0.0000 0.5000
0.0000 0.5000 0.0000
0.5000 0.0000 0.0000
0.5000 0.5000 0.5000
0.1543 0.2104 0.9556
0.1543 0.2896 0.4556
0.2499 0.7012 0.9576
0.2499 0.7988 0.4576
0.3284 0.0240 0.7452
0.3284 0.4760 0.2452
0.6716 0.5240 0.7548
0.6716 0.9760 0.2548
0.7501 0.2012 0.5424
0.7501 0.2988 0.0424
0.8457 0.7104 0.5444
0.8457 0.7896 0.0444
```